A plane-wave DFT calculation with GGA-PBE was carried out for Ir4OsW after structural relaxation.

Properties
The calculation puts the polymorph energy (0 for the lowest one) at 2.04 eV per formula unit. For the calculated density, the calculation gives 18.16 g/cm³. The energy of formation is 206 kJ/mol of formula units.

Structure (POSCAR):
```
Ir4OsW
1.0
3.870 -2.054 0.000
3.870 2.054 0.000
-3.745 0.000 6.573
Ir Os W
4 1 1
Direct
0.238 0.238 0.116
0.241 0.241 0.622
0.759 0.759 0.378
0.762 0.762 0.884
0.500 0.500 0.000
0.500 0.500 0.500
```